[1]
# BaMn3I, optimized geometry, DFT PBE
data_BaMn3I
_chemical_formula_sum 'Ba1 Mn3 I1'
_cell_length_a 5.156
_cell_length_b 5.156
_cell_length_c 5.156
_cell_angle_alpha 90.00
_cell_angle_beta 90.00
_cell_angle_gamma 90.00
_symmetry_space_group_name_H-M 'P 1'
_symmetry_Int_Tables_number 1
loop_
_symmetry_equiv_pos_as_xyz
'x,y,z'
loop_
_atom_site_label
_atom_site_type_symbol
_atom_site_fract_x
_atom_site_fract_y
_atom_site_fract_z
_atom_site_occupancy
Mn1 Mn 0.500 0.000 0.000 1
I1 I 0.000 0.000 0.000 1
Ba1 Ba 0.500 0.500 0.500 1
Mn2 Mn 0.000 0.500 0.000 1
Mn3 Mn 0.000 0.000 0.500 1
# Symmetry = Pm-3m (221)
# Spin magnetization = 10.0 μB/cell
# E_form (uncorrected) = 1.0166 eV/atom


[2]
# BaMn3I9, optimized geometry, DFT PBE
data_BaMn3I9
_chemical_formula_sum 'Ba2 Mn6 I18'
_cell_length_a 11.050
_cell_length_b 11.729
_cell_length_c 12.524
_cell_angle_alpha 75.84
_cell_angle_beta 63.82
_cell_angle_gamma 61.90
_symmetry_space_group_name_H-M 'P 1'
_symmetry_Int_Tables_number 1
loop_
_symmetry_equiv_pos_as_xyz
'x,y,z'
loop_
_atom_site_label
_atom_site_type_symbol
_atom_site_fract_x
_atom_site_fract_y
_atom_site_fract_z
_atom_site_occupancy
Mn1 Mn 0.379 0.763 0.229 1
I1 I 0.797 0.973 0.384 1
I2 I 0.413 0.276 0.681 1
I3 I 0.340 0.208 0.286 1
Mn2 Mn 0.226 0.456 0.317 1
I4 I 0.592 0.750 0.685 1
I5 I 0.847 0.473 0.884 1
Ba1 Ba 0.145 0.426 0.951 1
Mn3 Mn 0.972 0.029 0.172 1
I6 I 0.630 0.776 0.181 1
I7 I 0.821 0.359 0.564 1
I8 I 0.041 0.583 0.205 1
Mn4 Mn 0.629 0.263 0.729 1
I9 I 0.166 0.708 0.786 1
I10 I 0.468 0.505 0.239 1
Ba2 Ba 0.478 0.926 0.451 1
I11 I 0.789 0.005 0.739 1
I12 I 0.089 0.546 0.538 1
I13 I 0.492 0.384 0.927 1
I14 I 0.257 0.859 0.064 1
Mn5 Mn 0.827 0.529 0.672 1
I15 I 0.171 0.083 0.705 1
I16 I 0.827 0.046 0.038 1
I17 I 0.973 0.250 0.185 1
Mn6 Mn 0.001 0.956 0.817 1
I18 I 0.197 0.884 0.427 1
# Symmetry = Cc (9)
# Spin magnetization = 28.0 μB/cell
# E_form (uncorrected) = -0.6646 eV/atom


[3]
# BaMn3I8, optimized geometry, DFT PBE
data_BaMn3I8
_chemical_formula_sum 'Ba1 Mn3 I8'
_cell_length_a 8.858
_cell_length_b 8.860
_cell_length_c 9.262
_cell_angle_alpha 119.19
_cell_angle_beta 90.00
_cell_angle_gamma 119.99
_symmetry_space_group_name_H-M 'P 1'
_symmetry_Int_Tables_number 1
loop_
_symmetry_equiv_pos_as_xyz
'x,y,z'
loop_
_atom_site_label
_atom_site_type_symbol
_atom_site_fract_x
_atom_site_fract_y
_atom_site_fract_z
_atom_site_occupancy
I1 I 0.737 0.034 0.776 1
I2 I 0.738 0.477 0.210 1
I3 I 0.737 0.474 0.776 1
Mn1 Mn 0.500 0.500 0.000 1
I4 I 0.263 0.966 0.224 1
Mn2 Mn 0.500 0.000 0.000 1
Ba1 Ba 0.000 0.000 0.000 1
I5 I 0.298 0.034 0.776 1
I6 I 0.702 0.966 0.224 1
I7 I 0.262 0.523 0.790 1
I8 I 0.263 0.526 0.224 1
Mn3 Mn 0.000 0.500 0.000 1
# Symmetry = C2/m (12)
# Spin magnetization = 15.0 μB/cell
# E_form (uncorrected) = -0.6992 eV/atom


[4]
# BaMnI3, optimized geometry, DFT PBE
data_BaMnI3
_chemical_formula_sum 'Ba1 Mn1 I3'
_cell_length_a 5.680
_cell_length_b 5.680
_cell_length_c 5.680
_cell_angle_alpha 90.00
_cell_angle_beta 90.00
_cell_angle_gamma 90.00
_symmetry_space_group_name_H-M 'P 1'
_symmetry_Int_Tables_number 1
loop_
_symmetry_equiv_pos_as_xyz
'x,y,z'
loop_
_atom_site_label
_atom_site_type_symbol
_atom_site_fract_x
_atom_site_fract_y
_atom_site_fract_z
_atom_site_occupancy
I1 I 0.500 0.000 0.000 1
Ba1 Ba 0.500 0.500 0.500 1
Mn1 Mn 0.000 0.000 0.000 1
I2 I 0.000 0.000 0.500 1
I3 I 0.000 0.500 0.000 1
# Symmetry = Pm-3m (221)
# Spin magnetization = 4.3 μB/cell
# Distance to the lowest polymorph of the same formula = 0.000 eV/atom
# E_form (uncorrected) = -0.7627 eV/atom


[5]
# Ba3MnI, optimized geometry, DFT PBE
data_Ba3MnI
_chemical_formula_sum 'Ba3 Mn1 I1'
_cell_length_a 5.845
_cell_length_b 5.845
_cell_length_c 5.845
_cell_angle_alpha 90.00
_cell_angle_beta 90.00
_cell_angle_gamma 90.00
_symmetry_space_group_name_H-M 'P 1'
_symmetry_Int_Tables_number 1
loop_
_symmetry_equiv_pos_as_xyz
'x,y,z'
loop_
_atom_site_label
_atom_site_type_symbol
_atom_site_fract_x
_atom_site_fract_y
_atom_site_fract_z
_atom_site_occupancy
Ba1 Ba 0.000 0.000 0.500 1
I1 I 0.500 0.500 0.500 1
Ba2 Ba 0.000 0.500 0.000 1
Ba3 Ba 0.500 0.000 0.000 1
Mn1 Mn 0.000 0.000 0.000 1
# Symmetry = Pm-3m (221)
# Spin magnetization = 0.0 μB/cell
# E_form (uncorrected) = 0.1355 eV/atom


[6]
# BaMn2I6, optimized geometry, DFT PBE
data_BaMn2I6
_chemical_formula_sum 'Ba2 Mn4 I12'
_cell_length_a 8.031
_cell_length_b 10.585
_cell_length_c 10.585
_cell_angle_alpha 85.62
_cell_angle_beta 79.97
_cell_angle_gamma 79.97
_symmetry_space_group_name_H-M 'P 1'
_symmetry_Int_Tables_number 1
loop_
_symmetry_equiv_pos_as_xyz
'x,y,z'
loop_
_atom_site_label
_atom_site_type_symbol
_atom_site_fract_x
_atom_site_fract_y
_atom_site_fract_z
_atom_site_occupancy
Ba1 Ba 0.250 0.128 0.872 1
I1 I 0.426 0.723 0.563 1
Ba2 Ba 0.750 0.872 0.128 1
I2 I 0.837 0.195 0.048 1
I3 I 0.074 0.437 0.277 1
Mn1 Mn 0.275 0.231 0.375 1
Mn2 Mn 0.225 0.625 0.769 1
Mn3 Mn 0.725 0.769 0.625 1
I4 I 0.337 0.048 0.195 1
Mn4 Mn 0.775 0.375 0.231 1
I5 I 0.663 0.952 0.805 1
I6 I 0.904 0.857 0.411 1
I7 I 0.163 0.805 0.952 1
I8 I 0.596 0.589 0.143 1
I9 I 0.404 0.411 0.857 1
I10 I 0.096 0.143 0.589 1
I11 I 0.574 0.277 0.437 1
I12 I 0.926 0.563 0.723 1
# Symmetry = C2/c (15)
# Spin magnetization = 20.0 μB/cell
# E_form (uncorrected) = -0.8522 eV/atom